(1)
VASP calculation (PBE) on a relaxed YGa4Ni3 crystal.

* E: -39.5 eV/f.u.

Cell lengths 4.0735, 4.0735, 7.7639 Å; angles 90.00, 90.00, 90.00 degrees
Space group P4/mmm (No. 123)
Unique sites:
Y (0.0000, 0.0000, 0.0000) [1 per cell]
Ga (0.0000, 0.5000, 0.3211) [4 per cell]
Ni (0.0000, 0.0000, 0.5000) [1 per cell]
Ni (0.5000, 0.5000, 0.1483) [2 per cell]

(2)
VASP calculation (PBE) on a relaxed NaLa2Zr crystal.

* relative energy among the computed polymorphs: 0 meV/atom

Cell lengths 3.4502, 3.4502, 10.9661 Å; angles 90.00, 90.00, 90.00 degrees
Space group P4/mmm (No. 123)
Unique sites:
Na (0.0000, 0.0000, 0.0000) [1 per cell]
La (0.5000, 0.5000, 0.2835) [2 per cell]
Zr (0.0000, 0.0000, 0.5000) [1 per cell]

(3)
VASP calculation (PBE) on a relaxed SiBPd6 crystal.

* formation energy (no corrections): -0.320 eV per atom

Cell lengths 5.3430, 5.3430, 14.4114 Å; angles 90.00, 90.00, 120.00 degrees
Space group R-3 (No. 148, hexagonal axes)
Unique sites:
Si (0.0000, 0.0000, 0.0000) [3 per cell]
B (0.0000, 0.0000, 0.5000) [3 per cell]
Pd (0.0141, 0.3793, 0.9143) [18 per cell]

(4)
VASP calculation (PBE) on a relaxed Dy4CdAu7 crystal.

* E: -49.9 eV/f.u.

Cell lengths 14.2169, 5.2095, 9.0737 Å; angles 90.00, 124.06, 90.00 degrees
Space group C2/m (No. 12)
Unique sites:
Dy (0.0624, 0.0000, 0.2419) [4 per cell]
Dy (0.2396, 0.0000, 0.7607) [4 per cell]
Cd (0.0000, 0.5000, 0.5000) [2 per cell]
Au (0.0000, 0.0000, 0.5000) [2 per cell]
Au (0.0695, 0.5000, 0.8652) [4 per cell]
Au (0.1856, 0.0000, 0.0551) [4 per cell]
Au (0.1907, 0.5000, 0.4825) [4 per cell]

| no. | magnetization (μB per formula unit) |
| --- | --- |
| 1 | 0.0 |
| 2 | 0.0 |
| 3 | 0.0 |
| 4 | 0.0 |